Entry 1:
The following is a PBE calculation of a relaxed structure of FeCu4Pd, from Alexandria.

Unit cell a=4.782 b=4.782 c=4.782 alpha=60.00 beta=60.00 gamma=60.00
Positions (direct):
Fe: 0.000 0.000 0.000
Cu: 0.125 0.625 0.625
Cu: 0.625 0.125 0.625
Cu: 0.625 0.625 0.125
Cu: 0.625 0.625 0.625
Pd: 0.250 0.250 0.250

density: 8.94 g cm⁻³
crystal system: cubic
E: -29.5 eV for the cell shown

Entry 2:
The following is a PBE calculation of a relaxed structure of InCu2Au7, from Alexandria.

Unit cell a=7.379 b=7.379 c=4.614 alpha=90.00 beta=90.00 gamma=119.14
Positions (direct):
In: 0.000 0.000 0.000
Cu: 0.296 0.704 0.500
Cu: 0.704 0.296 0.500
Au: 0.072 0.304 0.500
Au: 0.215 0.785 0.000
Au: 0.304 0.072 0.500
Au: 0.500 0.500 0.500
Au: 0.696 0.928 0.500
Au: 0.785 0.215 0.000
Au: 0.928 0.696 0.500

density: 12.26 g cm⁻³
crystal system: orthorhombic
E: -32.2 eV for the cell shown

Calculated size of the total moment in order - 3.41 0.00 Bohr magnetons per cell